Below is a crystal of La3Tl relaxed with PBEsol, with properties calculated at the SCAN level.

Cell: 3.645 11.227 6.104 Å, 90.00 90.00 90.00°
Atoms (fractional coordinates):
La: 0.000 0.000 0.000
La: 0.000 0.228 0.635
La: 0.000 0.772 0.635
La: 0.500 0.272 0.135
La: 0.500 0.500 0.500
La: 0.500 0.728 0.135
Tl: 0.000 0.500 0.959
Tl: 0.500 0.000 0.459

Results
**VASP energy**: -406.14 eV for the cell shown
**E above lowest polymorph**: 14 kJ/mol of formula units
**E_form**: -33.72 kJ/mol of atoms
**Calculated volume**: 31.23 Å³ per atom

Below is a crystal of K2Nb2As2O11 relaxed with PBEsol, with properties calculated at the SCAN level.

Cell: 9.963 10.569 10.380 Å, 90.00 97.34 90.00°
Atoms (fractional coordinates):
K: 0.004 0.000 0.249
K: 0.240 0.723 0.468
K: 0.244 0.797 0.925
K: 0.485 0.581 0.243
K: 0.515 0.081 0.757
K: 0.756 0.297 0.075
K: 0.760 0.223 0.532
K: 0.996 0.500 0.751
Nb: 0.061 0.185 0.895
Nb: 0.065 0.318 0.395
Nb: 0.357 0.408 0.887
Nb: 0.358 0.094 0.385
Nb: 0.642 0.594 0.615
Nb: 0.643 0.908 0.113
Nb: 0.935 0.818 0.605
Nb: 0.939 0.685 0.105
As: 0.132 0.079 0.606
As: 0.133 0.424 0.105
As: 0.386 0.113 0.059
As: 0.389 0.385 0.561
As: 0.611 0.885 0.439
As: 0.614 0.613 0.941
As: 0.867 0.924 0.895
As: 0.868 0.579 0.394
O: 0.041 0.291 0.058
O: 0.044 0.214 0.560
O: 0.045 0.960 0.520
O: 0.049 0.545 0.020
O: 0.087 0.738 0.205
O: 0.088 0.762 0.695
O: 0.134 0.444 0.268
O: 0.137 0.060 0.770
O: 0.187 0.313 0.854
O: 0.189 0.191 0.351
O: 0.218 0.087 0.030
O: 0.221 0.412 0.530
O: 0.291 0.943 0.341
O: 0.293 0.558 0.837
O: 0.297 0.081 0.578
O: 0.299 0.423 0.079
O: 0.429 0.148 0.222
O: 0.429 0.349 0.725
O: 0.453 0.223 0.968
O: 0.458 0.269 0.478
O: 0.458 0.969 0.023
O: 0.459 0.529 0.524
O: 0.541 0.029 0.476
O: 0.542 0.469 0.977
O: 0.542 0.769 0.522
O: 0.547 0.723 0.032
O: 0.571 0.648 0.778
O: 0.571 0.849 0.275
O: 0.701 0.923 0.921
O: 0.703 0.581 0.422
O: 0.707 0.058 0.163
O: 0.709 0.443 0.659
O: 0.779 0.912 0.470
O: 0.782 0.587 0.970
O: 0.811 0.691 0.649
O: 0.813 0.813 0.146
O: 0.863 0.560 0.230
O: 0.866 0.944 0.732
O: 0.912 0.262 0.305
O: 0.913 0.238 0.795
O: 0.951 0.045 0.980
O: 0.955 0.460 0.480
O: 0.956 0.714 0.440
O: 0.959 0.791 0.942

Results
**VASP energy**: -912.60 eV for the cell shown
**Formation energy from raw total energies**: -206.07 kJ per mole of atoms
**Calculated volume**: 15.94 Å³ per atom